Entry 1:
Compound: Mg3Sn2O7
Source: the Alexandria database
Functional: GGA-PBEsol
Structure: relaxed

a = 5.3274 Å, b = 5.4371 Å, c = 9.5917 Å
α = 90.00°, β = 106.12°, γ = 90.00°
Positions (direct):
Mg1 0.9615 0.6852 0.4001
Mg2 0.0385 0.1852 0.5999
Mg3 0.2623 0.2833 0.0000
Mg4 0.4386 0.1852 0.4001
Mg5 0.5614 0.6852 0.5999
Mg6 0.7377 0.7833 0.0000
O1 0.0916 0.3208 0.4153
O2 0.7040 0.9370 0.2765
O3 0.4275 0.9370 0.7235
O4 0.3237 0.8208 0.4153
O5 0.8317 0.5822 0.8459
O6 0.9858 0.5822 0.1541
O7 0.5725 0.4370 0.2765
O8 0.2960 0.4370 0.7235
O9 0.0142 0.0822 0.8459
O10 0.6230 0.1559 0.0000
O11 0.6763 0.3208 0.5847
O12 0.3770 0.6559 0.0000
O13 0.9084 0.8208 0.5847
O14 0.1683 0.0822 0.1541
Sn1 0.1405 0.7452 0.7888
Sn2 0.6483 0.2452 0.7888
Sn3 0.8595 0.2452 0.2112
Sn4 0.3517 0.7452 0.2112

Values from the calculation:
**Calculated density**: 5.3 g cm⁻³
**Total magnetization**: 0.00 μB/f.u.
**Formation energy without anion corrections**: -26.0 eV/f.u.
**SG**: No. 36

---

Entry 2:
Compound: Mg2Sn3O8
Source: the Alexandria database
Functional: GGA-PBEsol
Structure: relaxed

a = 6.2689 Å, b = 6.2689 Å, c = 9.3228 Å
α = 90.00°, β = 90.00°, γ = 120.00°
Positions (direct):
Mg1 0.3333 0.6667 0.5997
Mg2 0.6667 0.3333 0.0997
Mg3 0.3333 0.6667 0.9697
Mg4 0.6667 0.3333 0.4697
O1 0.5187 0.4813 0.6274
O2 0.5187 0.0374 0.6274
O3 0.0374 0.5187 0.1274
O4 0.4813 0.9626 0.1274
O5 0.8298 0.6596 0.3571
O6 0.3404 0.1702 0.3571
O7 0.3333 0.6667 0.3771
O8 0.0000 0.0000 0.6399
O9 0.9626 0.4813 0.6274
O10 0.0000 0.0000 0.1399
O11 0.6667 0.3333 0.8771
O12 0.1702 0.8298 0.8571
O13 0.6596 0.8298 0.8571
O14 0.4813 0.5187 0.1274
O15 0.8298 0.1702 0.3571
O16 0.1702 0.3404 0.8571
Sn1 0.1645 0.8355 0.2555
Sn2 0.3290 0.1645 0.7555
Sn3 0.8355 0.6710 0.7555
Sn4 0.1645 0.3290 0.2555
Sn5 0.6710 0.8355 0.2555
Sn6 0.8355 0.1645 0.7555

Values from the calculation:
**Calculated density**: 5.6 g cm⁻³
**Total magnetization**: 0.00 μB/f.u.
**Excess energy over the best structure of this formula in the dataset**: 0 meV per atom
**Formation energy without anion corrections**: -25.6 eV/f.u.
**SG**: No. 186

---

Entry 3:
Compound: Mg2Sn3O8
Source: the Alexandria database
Functional: GGA-PBEsol
Structure: relaxed

a = 5.3671 Å, b = 5.8911 Å, c = 5.8911 Å
α = 117.13°, β = 99.13°, γ = 80.87°
Positions (direct):
O1 0.1358 0.3516 0.1023
O2 0.3683 0.3940 0.6060
O3 0.6338 0.1061 0.8939
O4 0.6317 0.6060 0.3940
O5 0.1358 0.8977 0.6484
O6 0.3662 0.8939 0.1061
O7 0.8642 0.1023 0.3516
O8 0.8642 0.6484 0.8977
Mg1 0.0792 0.2951 0.7049
Mg2 0.9208 0.7049 0.2951
Sn1 0.5000 0.2577 0.2577
Sn2 0.0000 0.0000 0.0000
Sn3 0.5000 0.7423 0.7423

Values from the calculation:
**Calculated density**: 5.4 g cm⁻³
**Total magnetization**: 0.00 μB/f.u.
**Excess energy over the best structure of this formula in the dataset**: 21 meV per atom
**Formation energy without anion corrections**: -25.4 eV/f.u.
**SG**: No. 12

---

Entry 4:
Compound: Mg2Ta2SnO8
Source: the Alexandria database
Functional: GGA-PBEsol
Structure: relaxed

a = 5.2643 Å, b = 5.9871 Å, c = 10.7413 Å
α = 106.18°, β = 91.86°, γ = 90.00°
Positions (direct):
O1 0.3834 0.3129 0.8617
O2 0.1166 0.4512 0.1383
O3 0.1227 0.1574 0.6073
O4 0.5390 0.1694 0.1673
O5 0.0524 0.7013 0.6181
O6 0.0390 0.9979 0.1673
O7 0.4610 0.8306 0.8327
O8 0.6227 0.4499 0.6073
O9 0.9476 0.2987 0.3819
O10 0.6166 0.6871 0.1383
O11 0.5524 0.9167 0.6181
O12 0.4476 0.0833 0.3819
O13 0.9610 0.0021 0.8327
O14 0.8773 0.8426 0.3927
O15 0.8834 0.5488 0.8617
O16 0.3773 0.5501 0.3927
Ta1 0.7316 0.9601 0.2539
Ta2 0.2684 0.0399 0.7461
Ta3 0.2316 0.2938 0.2539
Ta4 0.7684 0.7062 0.7461
Sn1 0.7500 0.3116 0.0000
Sn2 0.2500 0.6884 0.0000
Mg1 0.7436 0.5876 0.4591
Mg2 0.2564 0.4124 0.5409
Mg3 0.7564 0.1286 0.5409
Mg4 0.2436 0.8714 0.4591

Values from the calculation:
**Calculated density**: 6.7 g cm⁻³
**Total magnetization**: 0.00 μB/f.u.
**Formation energy without anion corrections**: -33.2 eV/f.u.
**SG**: No. 15

---

Entry 5:
Compound: Mg30ZnSnO32
Source: the Alexandria database
Functional: GGA-PBEsol
Structure: relaxed

a = 8.5042 Å, b = 8.5323 Å, c = 8.5323 Å
α = 90.00°, β = 90.00°, γ = 90.00°
Positions (direct):
O1 0.2478 0.0000 0.5000
O2 0.0000 0.0000 0.2583
O3 0.5000 0.7468 0.5000
O4 0.7694 0.0000 0.0000
O5 0.7522 0.5000 0.0000
O6 0.0000 0.5000 0.7486
O7 0.0000 0.7486 0.5000
O8 0.2306 0.0000 0.0000
O9 0.5000 0.7308 0.0000
O10 0.5000 0.5000 0.7468
O11 0.2503 0.2494 0.2494
O12 0.7497 0.2494 0.2494
O13 0.0000 0.7417 0.0000
O14 0.5000 0.2692 0.0000
O15 0.0000 0.2583 0.0000
O16 0.7497 0.7506 0.2494
O17 0.2503 0.2494 0.7506
O18 0.7497 0.7506 0.7506
O19 0.7506 0.5000 0.5000
O20 0.5000 0.0000 0.7308
O21 0.5000 0.5000 0.2532
O22 0.0000 0.5000 0.2514
O23 0.2503 0.7506 0.2494
O24 0.2494 0.5000 0.5000
O25 0.2478 0.5000 0.0000
O26 0.7497 0.2494 0.7506
O27 0.0000 0.2514 0.5000
O28 0.7522 0.0000 0.5000
O29 0.5000 0.2532 0.5000
O30 0.0000 0.0000 0.7417
O31 0.5000 0.0000 0.2692
O32 0.2503 0.7506 0.7506
Mg1 0.7506 0.5000 0.2505
Mg2 0.0000 0.5000 0.5000
Mg3 0.5000 0.2542 0.7458
Mg4 0.7506 0.7495 0.5000
Mg5 0.7546 0.0000 0.7452
Mg6 0.0000 0.7498 0.7498
Mg7 0.2494 0.5000 0.2505
Mg8 0.7546 0.7452 0.0000
Mg9 0.2494 0.5000 0.7495
Mg10 0.0000 0.2502 0.7498
Mg11 0.5000 0.7458 0.7458
Mg12 0.7506 0.2505 0.5000
Mg13 0.5000 0.5000 0.0000
Mg14 0.0000 0.5000 0.0000
Mg15 0.0000 0.7498 0.2502
Mg16 0.2454 0.0000 0.7452
Mg17 0.7506 0.5000 0.7495
Mg18 0.5000 0.5000 0.5000
Mg19 0.5000 0.0000 0.5000
Mg20 0.2494 0.7495 0.5000
Mg21 0.5000 0.2542 0.2542
Mg22 0.2494 0.2505 0.5000
Mg23 0.7546 0.0000 0.2548
Mg24 0.2454 0.7452 0.0000
Mg25 0.0000 0.0000 0.5000
Mg26 0.5000 0.7458 0.2542
Mg27 0.0000 0.2502 0.2502
Mg28 0.2454 0.2548 0.0000
Mg29 0.2454 0.0000 0.2548
Mg30 0.7546 0.2548 0.0000
Sn1 0.5000 0.0000 0.0000
Zn1 0.0000 0.0000 0.0000

Values from the calculation:
**Calculated density**: 3.8 g cm⁻³
**Total magnetization**: 0.00 μB/f.u.
**Formation energy without anion corrections**: -166.9 eV/f.u.
**SG**: No. 123

---

Entry 6:
Compound: Sr3MgO4
Source: the Alexandria database
Functional: GGA-PBEsol
Structure: relaxed

a = 3.4649 Å, b = 5.0102 Å, c = 7.0236 Å
α = 90.00°, β = 90.00°, γ = 90.00°
Positions (direct):
O1 0.5000 0.0000 0.2195
O2 0.0000 0.5000 0.5000
O3 0.5000 0.0000 0.7805
O4 0.0000 0.5000 0.0000
Sr1 0.0000 0.0000 0.5000
Sr2 0.5000 0.5000 0.2394
Sr3 0.5000 0.5000 0.7606
Mg1 0.0000 0.0000 0.0000

Values from the calculation:
**Calculated density**: 4.8 g cm⁻³
**Total magnetization**: 0.00 μB/f.u.
**Formation energy without anion corrections**: -20.8 eV/f.u.
**SG**: No. 47

---

Entry 7:
Compound: SrMg3O4
Source: the Alexandria database
Functional: GGA-PBEsol
Structure: relaxed

a = 3.2645 Å, b = 3.2645 Å, c = 8.8851 Å
α = 90.00°, β = 90.00°, γ = 90.00°
Positions (direct):
O1 0.0000 0.0000 0.7254
O2 0.5000 0.5000 0.0000
O3 0.0000 0.0000 0.2746
O4 0.5000 0.5000 0.5000
Mg1 0.5000 0.5000 0.2717
Mg2 0.5000 0.5000 0.7283
Mg3 0.0000 0.0000 0.5000
Sr1 0.0000 0.0000 0.0000

Values from the calculation:
**Calculated density**: 3.9 g cm⁻³
**Total magnetization**: 0.00 μB/f.u.
**Formation energy without anion corrections**: -20.0 eV/f.u.
**SG**: No. 123

---

Entry 8:
Compound: SrMg30VO32
Source: the Alexandria database
Functional: GGA-PBEsol
Structure: relaxed

a = 8.5202 Å, b = 8.5229 Å, c = 8.5229 Å
α = 90.00°, β = 90.00°, γ = 90.00°
Each line ends with the local moment (μB).
Positions (direct):
O1 0.2497 0.2500 0.7500  0.00
O2 0.2532 0.0000 0.0000  0.01
O3 0.5000 0.0000 0.7510  0.00
O4 0.7503 0.7500 0.7500  0.00
O5 0.0000 0.7699 0.5000  0.00
O6 0.7503 0.2500 0.2500  0.00
O7 0.0000 0.2301 0.5000  0.00
O8 0.5000 0.5000 0.7535  0.00
O9 0.2497 0.7500 0.7500  0.00
O10 0.7503 0.7500 0.2500  0.00
O11 0.7503 0.2500 0.7500  0.00
O12 0.0000 0.0000 0.7502  0.01
O13 0.5000 0.0000 0.2490  0.00
O14 0.0000 0.0000 0.2498  0.01
O15 0.2497 0.7500 0.2500  0.00
O16 0.5000 0.2490 0.0000  0.00
O17 0.5000 0.2465 0.5000  0.00
O18 0.7462 0.5000 0.0000  0.00
O19 0.0000 0.5000 0.7699  0.00
O20 0.2538 0.0000 0.5000  0.00
O21 0.7300 0.5000 0.5000  0.00
O22 0.5000 0.7510 0.0000  0.00
O23 0.5000 0.5000 0.2465  0.00
O24 0.0000 0.2498 0.0000  0.01
O25 0.7462 0.0000 0.5000  0.00
O26 0.2700 0.5000 0.5000  0.00
O27 0.0000 0.5000 0.2301  0.00
O28 0.2497 0.2500 0.2500  0.00
O29 0.2538 0.5000 0.0000  0.00
O30 0.5000 0.7535 0.5000  0.00
O31 0.0000 0.7502 0.0000  0.01
O32 0.7468 0.0000 0.0000  0.01
Mg1 0.7451 0.5000 0.2450  0.00
Mg2 0.0000 0.7549 0.7549  0.00
Mg3 0.7496 0.0000 0.2495  0.00
Mg4 0.2504 0.2495 0.0000  0.00
Mg5 0.7451 0.7550 0.5000  0.00
Mg6 0.5000 0.7506 0.2494  0.00
Mg7 0.7496 0.7505 0.0000  0.00
Mg8 0.5000 0.5000 0.5000  0.00
Mg9 0.5000 0.0000 0.5000  0.00
Mg10 0.5000 0.0000 0.0000  0.00
Mg11 0.7451 0.5000 0.7550  0.00
Mg12 0.0000 0.2451 0.2451  0.00
Mg13 0.5000 0.2494 0.7506  0.00
Mg14 0.7451 0.2450 0.5000  0.00
Mg15 0.2549 0.5000 0.2450  0.00
Mg16 0.7496 0.2495 0.0000  0.00
Mg17 0.2504 0.0000 0.7505  0.00
Mg18 0.0000 0.0000 0.5000  0.00
Mg19 0.5000 0.7506 0.7506  0.00
Mg20 0.2549 0.2450 0.5000  0.00
Mg21 0.2504 0.0000 0.2495  0.00
Mg22 0.2504 0.7505 0.0000  0.00
Mg23 0.5000 0.5000 0.0000  0.00
Mg24 0.0000 0.5000 0.0000  0.00
Mg25 0.0000 0.2451 0.7549  0.00
Mg26 0.7496 0.0000 0.7505  0.00
Mg27 0.0000 0.7549 0.2451  0.00
Mg28 0.5000 0.2494 0.2494  0.00
Mg29 0.2549 0.5000 0.7550  0.00
Mg30 0.2549 0.7550 0.5000  0.00
Sr1 0.0000 0.5000 0.5000  0.00
V1 0.0000 0.0000 0.0000  2.54

Values from the calculation:
**Calculated density**: 3.7 g cm⁻³
**Total magnetization**: 3.00 μB/f.u.
**Formation energy without anion corrections**: -170.9 eV/f.u.
**SG**: No. 123

---

Q: Look up the total magnetization of the fifth one.
A: 0.00 μB/f.u.